{
  "formula": "Er2Be3GaAu4",
  "functional": "GGA-PBE",
  "state": "relaxed",
  "spacegroup": "P-4m2, No. 115",
  "magmom_total_mub_per_cell": 0.0,
  "e_form_mev_per_atom": -488,
  "lattice_angstrom": [[4.2709, 0.0000, 0.0000], [0.0000, 4.2709, 0.0000], [0.0000, 0.0000, 9.4429]],
  "species": ["Er", "Er", "Be", "Be", "Be", "Ga", "Au", "Au", "Au", "Au"],
  "frac_coords": [[0.0000, 0.5000, 0.2492], [0.5000, 0.0000, 0.7508], [0.0000, 0.0000, 0.0000], [0.0000, 0.5000, 0.6121], [0.5000, 0.0000, 0.3879], [0.5000, 0.5000, 0.0000], [0.0000, 0.0000, 0.5000], [0.0000, 0.5000, 0.8544], [0.5000, 0.0000, 0.1456], [0.5000, 0.5000, 0.5000]]
}